[1]
CaCuIr2, optimized geometry, DFT PBE; formation enthalpy at 0 K = 0.29 eV per atom; SG = R-3m (166)
1.0
1.4424 0.8328 8.8931
-1.4424 0.8328 8.8931
0.0000 -1.6655 8.8931
Ca Cu Ir
1 1 2
Direct
0.0000 0.0000 0.0000
0.5000 0.5000 0.5000
0.2430 0.2430 0.2430
0.7570 0.7570 0.7570

---

[2]
La5Ni2Sb, optimized geometry, DFT PBE; SG = I4/mcm (140)
1.0
-4.0642 4.0642 6.8510
4.0642 -4.0642 6.8510
4.0642 4.0642 -6.8510
La Ni Sb
10 4 2
Direct
0.0000 0.0000 0.0000
0.0201 0.5201 0.8139
0.2061 0.0201 0.5000
0.2939 0.7939 0.8139
0.4799 0.2939 0.5000
0.5000 0.5000 0.0000
0.5201 0.7061 0.5000
0.7061 0.2061 0.1861
0.7939 0.9799 0.5000
0.9799 0.4799 0.1861
0.1272 0.3728 0.5000
0.3728 0.8728 0.2456
0.6272 0.1272 0.7544
0.8728 0.6272 0.5000
0.2500 0.2500 0.0000
0.7500 0.7500 0.0000

---

[3]
Ba2Bi2I, optimized geometry, DFT PBE; SG = Cmmm (65)
1.0
2.6943 -9.1983 0.0000
2.6943 9.1983 0.0000
0.0000 0.0000 4.8745
Ba Bi I
2 2 1
Direct
0.1464 0.8536 0.0000
0.8536 0.1464 0.0000
0.2939 0.7061 0.5000
0.7061 0.2939 0.5000
0.0000 0.0000 0.5000

---

[4]
DyPa2SbN5, optimized geometry, DFT PBE; SG = Cmc2_1 (36)
1.0
1.8046 -7.3365 0.0000
1.8046 7.3365 0.0000
0.0000 0.0000 11.8018
Dy Pa Sb N
2 4 2 10
Direct
0.2410 0.7590 0.5000
0.7590 0.2410 0.0000
0.1415 0.8585 0.2297
0.1415 0.8585 0.7704
0.8585 0.1415 0.2704
0.8585 0.1415 0.7297
0.4774 0.5226 0.5002
0.5226 0.4774 0.0002
0.9999 0.0001 0.2489
0.0001 0.9999 0.7489
0.2900 0.7100 0.1507
0.2901 0.7099 0.8496
0.3692 0.6308 0.3854
0.3690 0.6310 0.6147
0.6310 0.3690 0.1147
0.6308 0.3692 0.8854
0.7099 0.2901 0.3496
0.7100 0.2900 0.6507

---

Going through the records in order, we get total moment values of 0.00; 0.00; 0.00; 0.00 μB/f.u..
Going through the records in order, we get E_tot values of -22.67; -88.37; -18.30; -158.62 eV for the cell shown.